The following is a DFT calculation (PBE) of crystalline ThNp2CrC4 at its relaxed geometry.

- Space group: No. 63
- Mass density: 11.20 g cm⁻³
- Electronic total energy: -9.952 eV per atom
- Energy of formation: 0.025 eV/atom
- Spin magnetization: 6.355 μB per formula unit
- DOS at the Fermi energy: 1.358 states/eV/atom

Unit cell a=3.5336 b=6.0098 c=11.7730 alpha=90.00 beta=90.00 gamma=107.10
Last column: magnetic moment on the atom in μB.
Positions (direct):
C 0.0000 0.0000 0.0000  -0.15
C 0.4254 0.8508 0.7500  -0.07
C 0.2619 0.5239 0.1267  -0.08
Np 0.6302 0.2603 0.4545  2.86
Np 0.6302 0.2603 0.0455  2.86
C 0.7381 0.4761 0.6267  -0.08
C 0.5746 0.1492 0.2500  -0.07
C 0.7381 0.4761 0.8733  -0.08
Np 0.3698 0.7397 0.5455  2.86
Cr 0.1613 0.3226 0.2500  0.61
C 0.0000 0.0000 0.5000  -0.15
Th 0.1016 0.2031 0.7500  0.02
Cr 0.8387 0.6774 0.7500  0.61
C 0.2619 0.5239 0.3733  -0.08
Np 0.3698 0.7397 0.9545  2.86
Th 0.8984 0.7969 0.2500  0.02